Entry 1:
This record from the Alexandria database describes a relaxed Ti2FePtS crystal. The functional is PBE.

Summary:
Volume (Å³ per atom): 17.9
SG: P4/mmm
ΔE_f (raw) (eV per atom): 0.369
Uncorrected energy (Ry per atom): -0.479

extended XYZ file:
```
5
Lattice="4.4384 0.0000 0.0000 0.0000 4.4384 0.0000 0.0000 0.0000 4.5495" Properties=species:S:1:pos:R:3 pbc="T T T"
Ti 0.0000 2.2192 0.0000
Ti 2.2192 0.0000 0.0000
Fe 0.0000 0.0000 0.0000
Pt 0.0000 0.0000 2.2747
S 2.2192 2.2192 2.2747
```


Entry 2:
This record from the Alexandria database describes a relaxed BeRhBr crystal. The functional is PBE.

Summary:
Energy relative to the lowest polymorph listed for this composition (meV/atom): 300
Volume (Å³ per atom): 20.8
SG: Cm
ΔE_f (raw) (eV per atom): -0.128
Uncorrected energy (Ry per atom): -0.322

extended XYZ file:
```
12
Lattice="6.4343 0.0000 0.0000 0.0000 5.6623 0.0000 -0.0122 0.0000 6.8626" Properties=species:S:1:pos:R:3 pbc="T T T"
Be 0.0000 0.0000 0.0000
Be 0.1661 2.8312 0.0006
Be 3.2171 2.8312 0.0000
Be 3.3833 0.0000 0.0006
Rh 1.6792 1.4011 6.1572
Rh 1.6792 4.2612 6.1572
Rh 4.8964 1.4300 6.1572
Rh 4.8964 4.2323 6.1572
Br 1.6894 0.0000 1.5792
Br 1.6817 2.8312 4.1340
Br 4.8988 0.0000 4.1340
Br 4.9066 2.8312 1.5792
```


Entry 3:
This record from the Alexandria database describes a relaxed RbHo3F10 crystal. The functional is PBE.

Summary:
Volume (Å³ per atom): 14.1
SG: Fm-3m
ΔE_f (raw) (eV per atom): -3.998
Uncorrected energy (Ry per atom): -0.469

extended XYZ file:
```
28
Lattice="0.0000 5.8271 5.8271 5.8271 0.0000 5.8271 5.8271 5.8271 0.0000" Properties=species:S:1:pos:R:3 pbc="T T T"
Rb 2.9136 2.9136 2.9136
Rb 8.7407 8.7407 8.7407
Ho 5.8271 5.8271 2.8021
Ho 5.8271 2.8021 5.8271
Ho 8.8522 5.8271 5.8271
Ho 2.8021 5.8271 5.8271
Ho 5.8271 8.8522 5.8271
Ho 5.8271 5.8271 8.8522
F 1.2882 1.2882 1.2882
F 4.5389 4.5389 1.2882
F 4.5389 1.2882 4.5389
F 5.8271 3.9119 3.9119
F 7.7424 5.8271 3.9119
F 7.7424 3.9119 5.8271
F 10.3661 7.1153 7.1153
F 3.9119 5.8271 3.9119
F 5.8271 7.7424 3.9119
F 3.9119 3.9119 5.8271
F 7.7424 7.7424 5.8271
F 5.8271 3.9119 7.7424
F 7.7424 5.8271 7.7424
F 1.2882 4.5389 4.5389
F 3.9119 7.7424 5.8271
F 3.9119 5.8271 7.7424
F 5.8271 7.7424 7.7424
F 7.1153 10.3661 7.1153
F 7.1153 7.1153 10.3661
F 10.3661 10.3661 10.3661
```


Entry 4:
This record from the Alexandria database describes a relaxed Ni5Rh2 crystal. The functional is PBE.

Summary:
Volume (Å³ per atom): 12.1
SG: C2/c
ΔE_f (meV per atom): 39
Uncorrected energy (Ry per atom): -0.455

extended XYZ file:
```
14
Lattice="5.7153 -2.2253 0.0000 5.7153 2.2253 0.0000 -0.4795 0.0000 6.6454" Properties=species:S:1:pos:R:3 pbc="T T T"
Ni 4.0266 1.4893 0.2381
Ni 2.9409 0.7653 4.5203
Ni 5.3557 1.4920 4.9841
Ni 7.1644 1.4893 3.0846
Ni 3.1807 -0.7653 1.1976
Ni 7.7706 0.7653 5.4478
Ni 3.7868 -1.4893 3.5608
Ni 5.5955 -1.4920 1.6614
Ni 8.0103 -0.7653 2.1251
Ni 6.9247 -1.4893 6.4073
Rh 4.6676 0.7698 2.6192
Rh 6.5233 0.7698 0.7036
Rh 4.4279 -0.7698 5.9419
Rh 6.2836 -0.7698 4.0263
```


Entry 5:
This record from the Alexandria database describes a relaxed Ho12Fe5Pb crystal. The functional is PBE.

Summary:
Volume (Å³ per atom): 24.2
SG: Immm
ΔE_f (meV per atom): -113
Uncorrected energy (Ry per atom): -0.421

extended XYZ file:
```
18
Lattice="-4.6812 4.7143 4.9398 4.6812 -4.7143 4.9398 4.6812 4.7143 -4.9398" Properties=species:S:1:pos:R:3 pbc="T T T"
Ho 4.6812 -2.8507 3.0728
Ho 2.8472 0.0000 2.1089
Ho 6.5152 0.0000 2.1089
Ho 2.9541 2.6766 0.0000
Ho 6.4084 2.6766 0.0000
Ho 0.0000 1.8635 1.8670
Ho 4.6812 2.8507 3.0728
Ho -1.7272 2.0376 4.9398
Ho 1.7272 2.0376 4.9398
Ho -1.8340 4.7143 2.8309
Ho 1.8340 4.7143 2.8309
Ho 0.0000 7.5650 1.8670
Fe 1.0863 0.0000 0.0000
Fe 4.6812 0.0000 0.0000
Fe 8.2762 0.0000 0.0000
Fe 0.0000 0.0000 3.8745
Fe 0.0000 0.0000 6.0051
Pb 0.0000 4.7143 0.0000
```


Entry 6:
This record from the Alexandria database describes a relaxed LiCa3Ga crystal. The functional is PBE.

Summary:
Energy relative to the lowest polymorph listed for this composition (meV/atom): 24
Volume (Å³ per atom): 31.1
SG: P2_1/c
ΔE_f (meV per atom): -183
Uncorrected energy (Ry per atom): -0.174

extended XYZ file:
```
20
Lattice="7.0717 0.0000 0.0000 0.0000 8.2606 0.0000 -0.4104 0.0000 10.6584" Properties=species:S:1:pos:R:3 pbc="T T T"
Li 0.5732 1.6371 0.7218
Li 0.3680 2.4932 6.0510
Li 6.2933 5.7674 4.6073
Li 6.0882 6.6235 9.9365
Ca 1.1729 0.1237 8.2502
Ca 1.3781 4.0066 2.9210
Ca 1.8837 0.3482 4.2193
Ca 1.6785 3.7820 9.5485
Ca 2.1232 5.2946 6.3353
Ca 2.3284 7.0963 1.0061
Ca 4.3329 1.1643 9.6522
Ca 4.5381 2.9660 4.3230
Ca 4.9829 4.4785 1.1099
Ca 4.7777 7.9123 6.4390
Ca 5.2833 4.2539 7.7373
Ca 5.4885 8.1369 2.4081
Ga 3.1474 1.9030 1.5609
Ga 2.9422 2.2273 6.8900
Ga 3.7191 6.0333 3.7683
Ga 3.5140 6.3576 9.0975
```